# Tm2PtRh PBE optimized geometry
# - total energy (eV per atom) = -6.4597
# - energy of formation (eV/atom) = -0.876
data_Tm2PtRh
_space_group_name_H-M_alt 'R -3 m'
_space_group_IT_number 166
_space_group_name_Hall '-R 3 2"'
_cell_length_a 4.0163
_cell_length_b 4.0163
_cell_length_c 19.0996
_cell_angle_alpha 90.00
_cell_angle_beta 90.00
_cell_angle_gamma 120.00
loop_
_atom_site_label
_atom_site_type_symbol
_atom_site_fract_x
_atom_site_fract_y
_atom_site_fract_z
_atom_site_occupancy
Tm1 Tm 0.0000 0.0000 0.2476 1
Pt1 Pt 0.0000 0.0000 0.0000 1
Rh1 Rh 0.0000 0.0000 0.5000 1

=====

# Tm2Pt5Rh PBE optimized geometry
# - total energy (eV per atom) = -6.8202
# - energy of formation (eV/atom) = -1.008
data_Tm2Pt5Rh
_space_group_name_H-M_alt 'P b a m'
_space_group_IT_number 55
_cell_length_a 5.776
_cell_length_b 11.552
_cell_length_c 4.062
_cell_angle_alpha 90.00
_cell_angle_beta 90.00
_cell_angle_gamma 90.00
loop_
_space_group_symop_operation_xyz
'x,y,z'
'-x,-y,-z'
'-x,-y,z'
'x,y,-z'
'x+1/2,-y+1/2,-z'
'-x+1/2,y+1/2,z'
'-x+1/2,y+1/2,-z'
'x+1/2,-y+1/2,z'
loop_
_atom_site_label
_atom_site_type_symbol
_atom_site_fract_x
_atom_site_fract_y
_atom_site_fract_z
_atom_site_occupancy
Tm1 Tm 0.245 0.124 0.000 1
Pt1 Pt 0.000 0.500 0.500 1
Pt2 Pt 0.004 0.751 0.500 1
Pt3 Pt 0.248 0.376 0.000 1
Rh1 Rh 0.000 0.000 0.500 1

=====

# Tm2Pt3Rh3 PBE optimized geometry
# - total energy (eV per atom) = -6.9756
# - energy of formation (eV/atom) = -0.836
data_Tm2Pt3Rh3
_space_group_name_H-M_alt 'P m m m'
_space_group_IT_number 47
_cell_length_a 4.055
_cell_length_b 4.085
_cell_length_c 8.032
_cell_angle_alpha 90.00
_cell_angle_beta 90.00
_cell_angle_gamma 90.00
loop_
_space_group_symop_operation_xyz
'x,y,z'
'-x,-y,-z'
'-x,-y,z'
'x,y,-z'
'x,-y,-z'
'-x,y,z'
'-x,y,-z'
'x,-y,z'
loop_
_atom_site_label
_atom_site_type_symbol
_atom_site_fract_x
_atom_site_fract_y
_atom_site_fract_z
_atom_site_occupancy
Tm1 Tm 0.000 0.000 0.248 1
Pt1 Pt 0.000 0.500 0.500 1
Pt2 Pt 0.500 0.500 0.249 1
Rh1 Rh 0.000 0.500 0.000 1
Rh2 Rh 0.500 0.000 0.000 1
Rh3 Rh 0.500 0.000 0.500 1

=====

# Tm4PtRh PBE optimized geometry
# - total energy (eV per atom) = -6.0254
# - energy of formation (eV/atom) = -0.812
data_Tm4PtRh
_space_group_name_H-M_alt 'C 1 2/c 1'
_space_group_IT_number 15
_cell_length_a 8.846
_cell_length_b 13.019
_cell_length_c 6.157
_cell_angle_alpha 90.00
_cell_angle_beta 123.46
_cell_angle_gamma 90.00
loop_
_space_group_symop_operation_xyz
'x,y,z'
'-x,-y,-z'
'-x,y,-z+1/2'
'x,-y,z+1/2'
'x+1/2,y+1/2,z'
'-x+1/2,-y+1/2,-z'
'-x+1/2,y+1/2,-z+1/2'
'x+1/2,-y+1/2,z+1/2'
loop_
_atom_site_label
_atom_site_type_symbol
_atom_site_fract_x
_atom_site_fract_y
_atom_site_fract_z
_atom_site_occupancy
Tm1 Tm 0.130 0.180 0.102 1
Tm2 Tm 0.200 0.439 0.271 1
Pt1 Pt 0.000 0.363 0.750 1
Rh1 Rh 0.000 0.002 0.750 1